Material: Ni2RuPt
Method: DFT, PBE
State: optimized geometry Values from VASP.

Summary:
- Magnetization: 0.4 μB per cell
- Energy of formation from the pure elements: 35 meV/atom
- Crystal system: monoclinic

Structure (Quantum ESPRESSO input):
```
&SYSTEM
  ibrav = 0, nat = 4, ntyp = 3
/
ATOMIC_SPECIES
Ni 58.69 Ni.upf
Ru 101.07 Ru.upf
Pt 195.08 Pt.upf
ATOMIC_POSITIONS crystal
Ni 0.247 0.247 0.236
Ni 0.753 0.753 0.764
Ru 0.500 0.500 0.000
Pt 0.000 0.000 0.500
CELL_PARAMETERS angstrom
4.252 -1.331 0.000
4.252 1.331 0.000
-0.798 0.000 4.608
```